Computed, not measured: a relaxed structure of Ca2MoIrPd at the PBE level of DFT.

Results
* calculated formation energy: 0.467 eV/atom
* ρ: 5.7 g cm⁻³
* DFT total energy: -0.195 hartree per atom
* Fermi-level density of states: 0.606 states/eV per atom
* crystal system: tetragonal

a = 5.421 Å, b = 5.421 Å, c = 4.716 Å
α = 90.00°, β = 90.00°, γ = 90.00°
Fractional coordinates of all 5 atoms:
Ca 0.000 0.500 0.000
Ca 0.500 0.000 0.000
Mo 0.000 0.000 0.500
Ir 0.000 0.000 0.000
Pd 0.500 0.500 0.500